# 1
# SiH3Ir (GGA-PBE, relaxed)
# raw total energy: -22.3 eV for the cell shown
data_SiH3Ir
_cell_length_a 3.556
_cell_length_b 3.556
_cell_length_c 3.556
_cell_angle_alpha 90.00
_cell_angle_beta 90.00
_cell_angle_gamma 90.00
_symmetry_space_group_name_H-M 'P 1'
_symmetry_Int_Tables_number 1
loop_
_symmetry_equiv_pos_as_xyz
'x,y,z'
loop_
_atom_site_label
_atom_site_fract_x
_atom_site_fract_y
_atom_site_fract_z
Si1 0.000 0.000 0.000
H1 0.000 0.500 0.500
H2 0.500 0.000 0.500
H3 0.500 0.500 0.000
Ir1 0.500 0.500 0.500

---

# 2
# Si2H2Ir (GGA-PBE, relaxed)
# raw total energy: -26.3 eV for the cell shown
data_Si2H2Ir
_cell_length_a 4.099
_cell_length_b 4.099
_cell_length_c 4.099
_cell_angle_alpha 112.73
_cell_angle_beta 112.73
_cell_angle_gamma 103.13
_symmetry_space_group_name_H-M 'P 1'
_symmetry_Int_Tables_number 1
loop_
_symmetry_equiv_pos_as_xyz
'x,y,z'
loop_
_atom_site_label
_atom_site_fract_x
_atom_site_fract_y
_atom_site_fract_z
Si1 0.250 0.750 0.500
Si2 0.750 0.250 0.500
H1 0.165 0.165 0.000
H2 0.835 0.835 0.000
Ir1 0.500 0.500 0.000

---

# 3
# SiHIr3 (GGA-PBE, relaxed)
# raw total energy: -35.4 eV for the cell shown
data_SiHIr3
_cell_length_a 3.894
_cell_length_b 3.894
_cell_length_c 3.894
_cell_angle_alpha 90.00
_cell_angle_beta 90.00
_cell_angle_gamma 90.00
_symmetry_space_group_name_H-M 'P 1'
_symmetry_Int_Tables_number 1
loop_
_symmetry_equiv_pos_as_xyz
'x,y,z'
loop_
_atom_site_label
_atom_site_fract_x
_atom_site_fract_y
_atom_site_fract_z
Si1 0.000 0.000 0.000
H1 0.500 0.500 0.500
Ir1 0.000 0.500 0.500
Ir2 0.500 0.000 0.500
Ir3 0.500 0.500 0.000

---

# 4
# SiHIr (GGA-PBE, relaxed)
# raw total energy: -34.9 eV for the cell shown
data_SiHIr
_cell_length_a 2.792
_cell_length_b 4.365
_cell_length_c 8.675
_cell_angle_alpha 75.46
_cell_angle_beta 80.79
_cell_angle_gamma 90.00
_symmetry_space_group_name_H-M 'P 1'
_symmetry_Int_Tables_number 1
loop_
_symmetry_equiv_pos_as_xyz
'x,y,z'
loop_
_atom_site_label
_atom_site_fract_x
_atom_site_fract_y
_atom_site_fract_z
Si1 0.155 0.156 0.189
Si2 0.845 0.844 0.811
H1 0.494 0.476 0.545
H2 0.506 0.524 0.455
Ir1 0.219 0.719 0.062
Ir2 0.781 0.281 0.938